Entry 1:
The following is a DFT calculation (PBE) of a relaxed Sn2OsF crystal.

abc: 5.6786 5.6786 7.3490
angles: 67.27 67.27 90.00
Positions (direct):
1 Os 0.0000 0.0000 0.0000
2 Os 0.7500 0.2500 0.5000
3 Sn 0.6209 0.1250 0.2500
4 Sn 0.1291 0.6250 0.2500
5 Sn 0.3750 0.3791 0.7500
6 Sn 0.8750 0.8709 0.7500
7 F 0.5000 0.5000 0.0000
8 F 0.2500 0.7500 0.5000

Output
- ΔE_f (raw) (eV per atom) = -0.041
- electronic total energy (eV per formula unit) = -21.27
- distance to the lowest polymorph of the same formula (eV/f.u.) = 0.57
- total magnetization (μB per cell) = 0.00
- DOS at the Fermi energy (states/eV/f.u.) = 1.953

---

Entry 2:
The following is a DFT calculation (PBE) of a relaxed BaH2O crystal.

abc: 4.0857 4.0857 13.7009
angles: 90.00 90.00 90.00
Positions (direct):
1 Ba 0.0000 0.0000 0.6338
2 Ba 0.0000 0.0000 0.3662
3 Ba 0.5000 0.5000 0.1338
4 Ba 0.5000 0.5000 0.8662
5 H 0.0000 0.5000 0.0000
6 H 0.5000 0.0000 0.0000
7 H 0.5000 0.0000 0.5000
8 H 0.0000 0.5000 0.5000
9 H 0.0000 0.0000 0.0983
10 H 0.0000 0.0000 0.9017
11 H 0.5000 0.5000 0.5983
12 H 0.5000 0.5000 0.4017
13 O 0.0000 0.0000 0.8297
14 O 0.0000 0.0000 0.1703
15 O 0.5000 0.5000 0.3297
16 O 0.5000 0.5000 0.6703

Output
- electronic total energy (eV per formula unit) = -18.79
- distance to the lowest polymorph of the same formula (eV/f.u.) = 0.09
- total magnetization (μB per cell) = 0.00
- DOS at the Fermi energy (states/eV/f.u.) = 0.000

---

Entry 3:
The following is a DFT calculation (PBE) of a relaxed Ta2CuB crystal.

abc: 6.5157 6.5157 5.3568
angles: 52.54 52.54 90.00
Positions (direct):
1 B 0.5000 0.5000 0.0000
2 B 0.2500 0.7500 0.5000
3 Cu 0.0000 0.0000 0.0000
4 Cu 0.7500 0.2500 0.5000
5 Ta 0.5915 0.1250 0.2500
6 Ta 0.1585 0.6250 0.2500
7 Ta 0.3750 0.4085 0.7500
8 Ta 0.8750 0.8415 0.7500

Output
- electronic total energy (eV per formula unit) = -33.28
- total magnetization (μB per cell) = 0.00
- DOS at the Fermi energy (states/eV/f.u.) = 3.071
- formation enthalpy at 0 K (eV/atom) = 0.299

---

Entry 4:
The following is a DFT calculation (PBE) of a relaxed Sb3PtRh crystal.

abc: 5.0480 5.0480 5.0480
angles: 90.00 90.00 90.00
Positions (direct):
1 Sb 0.0000 0.5000 0.0000
2 Sb 0.0000 0.0000 0.5000
3 Sb 0.5000 0.0000 0.0000
4 Rh 0.0000 0.0000 0.0000
5 Pt 0.5000 0.5000 0.5000

Output
- ΔE_f (raw) (eV per atom) = 0.497
- electronic total energy (eV per formula unit) = -23.28
- distance to the lowest polymorph of the same formula (eV/f.u.) = 0.00
- total magnetization (μB per cell) = 0.00
- DOS at the Fermi energy (states/eV/f.u.) = 1.817

---

Entry 5:
The following is a DFT calculation (PBE) of a relaxed SiP2RuN crystal.

abc: 3.3243 2.8465 7.5257
angles: 90.00 90.37 90.00
Positions (direct):
1 Si 0.5387 0.0000 0.2360
2 P 0.0359 0.0000 0.0418
3 P 0.5437 0.5000 0.6010
4 Ru 0.0456 0.0000 0.7264
5 N 0.5411 0.5000 0.3721

Output
- ΔE_f (raw) (eV per atom) = -0.284
- electronic total energy (eV per formula unit) = -35.27
- distance to the lowest polymorph of the same formula (eV/f.u.) = 0.21
- total magnetization (μB per cell) = 0.00
- DOS at the Fermi energy (states/eV/f.u.) = 2.397

---

Entry 6:
The following is a DFT calculation (PBE) of a relaxed BeSi2Cl crystal.

abc: 2.5414 2.5414 11.1033
angles: 90.00 90.00 90.00
Positions (direct):
1 Be 0.5000 0.5000 0.2500
2 Si 0.0000 0.0000 0.0895
3 Si 0.0000 0.0000 0.4105
4 Cl 0.5000 0.5000 0.7500

Output
- ΔE_f (raw) (eV per atom) = 0.437
- electronic total energy (eV per formula unit) = -14.67
- distance to the lowest polymorph of the same formula (eV/f.u.) = 1.03
- total magnetization (μB per cell) = 0.00
- DOS at the Fermi energy (states/eV/f.u.) = 1.674